# 1
Compound: La2InAu
Source: the Alexandria database
Functional: PBEsol
Structure: optimized geometry

Unit cell a=3.763 b=4.998 c=5.565 alpha=90.00 beta=90.00 gamma=90.00
Space group Pmm2 (No. 25)
Unique sites:
La (0.000, 0.000, 0.000) [1 per cell]
La (0.000, 0.500, 0.377) [1 per cell]
In (0.500, 0.500, 0.852) [1 per cell]
Au (0.500, 0.000, 0.524) [1 per cell]

- Theoretical density: 9.4 g cm⁻³
- ΔH_f (0 K): -2.41 eV per formula unit

---

# 2
Compound: HfTe2Ru
Source: the Alexandria database
Functional: PBEsol
Structure: optimized geometry

Unit cell a=6.774 b=6.774 c=6.774 alpha=90.00 beta=90.00 gamma=90.00
Space group Fm-3m (No. 225)
Unique sites:
Hf (0.000, 0.000, 0.000) [4 per cell]
Te (0.250, 0.250, 0.250) [8 per cell]
Ru (0.000, 0.000, 0.500) [4 per cell]

- Energy above the most stable polymorph in this dataset: 0.000 eV/atom
- Formation energy from raw total energies: -33 kJ/mol of formula units
- Theoretical density: 11.4 g cm⁻³